(1)
Below is an optimized crystal structure of Zr2TiAsOs, with properties calculated at the GGA-PBE level.

```
Zr2TiAsOs
1.0
5.081 0.000 0.000
0.000 5.081 0.000
0.000 0.000 4.648
Zr Ti As Os
2 1 1 1
direct
0.000 0.500 0.000
0.500 0.000 0.000
0.000 0.000 0.500
0.500 0.500 0.500
0.000 0.000 0.000
```

Computed properties:
The calculation puts the formation energy at 0.27 eV/atom. Its space group is P4/mmm. Its uncorrected energy is -7.90 eV/atom.



(2)
Below is an optimized crystal structure of TlAs4Os2, with properties calculated at the GGA-PBE level.

```
TlAs4Os2
1.0
-2.572 2.572 6.615
2.572 -2.572 6.615
2.572 2.572 -6.615
Tl As Os
1 4 2
direct
0.000 0.000 0.000
0.000 0.500 0.500
0.237 0.237 0.000
0.500 0.000 0.500
0.763 0.763 0.000
0.407 0.407 0.000
0.593 0.593 0.000
```

Computed properties:
The calculation puts the formation energy at 1.12 eV/atom. Its space group is I4/mmm. Its uncorrected energy is -5.08 eV/atom.



(3)
Below is an optimized crystal structure of TlAsOs2, with properties calculated at the GGA-PBE level.

```
TlAsOs2
1.0
2.842 0.000 0.000
0.000 3.737 0.000
0.000 0.000 7.611
Tl As Os
1 1 2
direct
0.000 0.000 0.000
0.500 0.500 0.381
0.000 0.000 0.573
0.500 0.500 0.720
```

Computed properties:
The calculation puts the formation energy at 0.53 eV/atom. Its space group is Pmm2. Its polymorph energy (0 for the lowest one) is 124 meV/atom. Its uncorrected energy is -6.84 eV/atom.



(4)
Below is an optimized crystal structure of TlAsOs, with properties calculated at the GGA-PBE level.

```
TlAsOs
1.0
-1.541 1.541 6.556
1.541 -1.541 6.556
1.541 1.541 -6.556
Tl As Os
1 1 1
direct
0.000 0.000 0.000
0.270 0.270 0.000
0.672 0.672 0.000
```

Computed properties:
The calculation puts the formation energy at 0.33 eV/atom. Its space group is I4mm. Its polymorph energy (0 for the lowest one) is 0 meV/atom. Its uncorrected energy is -5.76 eV/atom.



(5)
Below is an optimized crystal structure of Tl2As2Os, with properties calculated at the GGA-PBE level.

```
Tl2As2Os
1.0
6.340 0.000 0.000
0.000 6.340 0.000
0.000 0.000 5.837
Tl As Os
4 4 2
direct
0.192 0.308 0.000
0.308 0.808 0.000
0.692 0.192 0.000
0.808 0.692 0.000
0.144 0.644 0.500
0.356 0.144 0.500
0.644 0.856 0.500
0.856 0.356 0.500
0.000 0.000 0.500
0.500 0.500 0.500
```

Computed properties:
The calculation puts the formation energy at 0.17 eV/atom. Its space group is P4/mbm. Its uncorrected energy is -4.88 eV/atom.



(6)
Below is an optimized crystal structure of TlAsOs2, with properties calculated at the GGA-PBE level.

```
TlAsOs2
1.0
3.084 0.000 0.000
0.000 3.084 0.000
0.000 0.000 6.929
Tl As Os
1 1 2
direct
0.000 0.000 0.000
0.000 0.000 0.500
0.500 0.500 0.293
0.500 0.500 0.707
```

Computed properties:
The calculation puts the formation energy at 0.74 eV/atom. Its space group is P4/mmm. Its polymorph energy (0 for the lowest one) is 331 meV/atom. Its uncorrected energy is -6.63 eV/atom.



(7)
Below is an optimized crystal structure of TlAsOs2, with properties calculated at the GGA-PBE level.

```
TlAsOs2
1.0
-3.635 3.635 2.794
3.635 -3.635 2.794
3.635 3.635 -2.794
Tl As Os
2 2 4
direct
0.000 0.000 0.000
0.750 0.250 0.500
0.250 0.750 0.500
0.500 0.500 0.000
0.189 0.625 0.064
0.375 0.439 0.564
0.561 0.125 0.936
0.875 0.811 0.436
```

Computed properties:
The calculation puts the formation energy at 0.98 eV/atom. Its space group is I-42d. Its polymorph energy (0 for the lowest one) is 575 meV/atom. Its uncorrected energy is -6.38 eV/atom.



(8)
Below is an optimized crystal structure of TlAsOs2, with properties calculated at the GGA-PBE level.

```
TlAsOs2
1.0
4.040 -1.503 0.000
4.040 1.503 0.000
-1.065 0.000 5.764
Tl As Os
1 1 2
direct
0.000 0.000 0.000
0.500 0.500 0.500
0.245 0.245 0.692
0.755 0.755 0.308
```

Computed properties:
The calculation puts the formation energy at 0.71 eV/atom. Its space group is C2/m. Its polymorph energy (0 for the lowest one) is 303 meV/atom. Its uncorrected energy is -6.66 eV/atom.